No. 1
# VZn3Si PBE relaxed
# Raw formation energy: 0.848 eV/atom
# Volume: 100.2 Å³/cell
# Calculated total energy: -2.8249 eV/atom
data_VZn3Si
_chemical_formula_sum 'V1 Zn3 Si1'
_space_group_name_H-M_alt 'P m -3 m'
_space_group_IT_number 221
_space_group_name_Hall '-P 4 2 3'
_cell_length_a 4.644
_cell_length_b 4.644
_cell_length_c 4.644
_cell_angle_alpha 90.00
_cell_angle_beta 90.00
_cell_angle_gamma 90.00
loop_
_atom_site_label
_atom_site_type_symbol
_atom_site_fract_x
_atom_site_fract_y
_atom_site_fract_z
V1 V 0.000 0.000 0.000
Zn1 Zn 0.000 0.500 0.500
Si1 Si 0.500 0.500 0.500

---

No. 2
# YIn2Mo PBE relaxed
# ΔH_f (0 K): 13 kJ/mol of atoms
# Volume: 177.4 Å³/cell
# Calculated total energy: -5.5591 eV/atom
data_YIn2Mo
_chemical_formula_sum 'Y2 In4 Mo2'
_space_group_name_H-M_alt 'I m m 2'
_space_group_IT_number 44
_space_group_name_Hall 'I 2 -2'
_cell_length_a 3.993
_cell_length_b 4.633
_cell_length_c 9.593
_cell_angle_alpha 90.00
_cell_angle_beta 90.00
_cell_angle_gamma 90.00
loop_
_atom_site_label
_atom_site_type_symbol
_atom_site_fract_x
_atom_site_fract_y
_atom_site_fract_z
Y1 Y 0.000 0.000 0.000
In1 In 0.000 0.000 0.508
In2 In 0.000 0.500 0.760
Mo1 Mo 0.000 0.500 0.248

---

Record order is preserved below.
Energy relative to the lowest polymorph listed for this composition: 0; 128 meV/atom